1.
First-principles (PBE) data for Y2InGaF after structural relaxation, as listed in Alexandria.

a b c (Å): 4.8399 4.8399 4.8160
angles (deg): 90.00 90.00 90.00
Space group P4/mmm (No. 123)
Unique sites:
Y (0.0000, 0.5000, 0.0000) [2 per cell]
In (0.0000, 0.0000, 0.5000) [1 per cell]
Ga (0.5000, 0.5000, 0.5000) [1 per cell]
F (0.0000, 0.0000, 0.0000) [1 per cell]

Output
**Crystal system**: tetragonal
**Formation energy without anion corrections**: -441 kJ/mol of formula units
**Total DFT energy (no corrections)**: -25.1 eV per formula unit

2.
First-principles (PBE) data for ZnInGaF6 after structural relaxation, as listed in Alexandria.

a b c (Å): 5.3855 5.3855 5.9413
angles (deg): 90.00 90.00 120.00
Space group P312 (No. 149)
Unique sites:
Zn (0.0000, 0.0000, 0.0000) [1 per cell]
In (0.6667, 0.3333, 0.5000) [1 per cell]
Ga (0.3333, 0.6667, 0.0000) [1 per cell]
F (0.0560, 0.3527, 0.1834) [6 per cell]

Output
**Crystal system**: trigonal
**Formation energy without anion corrections**: -2032 kJ/mol of formula units
**Total DFT energy (no corrections)**: -39.3 eV per formula unit

3.
First-principles (PBE) data for ZnIn2GaF6 after structural relaxation, as listed in Alexandria.

a b c (Å): 8.5356 8.5356 8.5356
angles (deg): 90.00 90.00 90.00
Space group Fm-3m (No. 225)
Unique sites:
Zn (0.0000, 0.0000, 0.0000) [4 per cell]
In (0.2500, 0.2500, 0.2500) [8 per cell]
Ga (0.0000, 0.0000, 0.5000) [4 per cell]
F (0.0000, 0.0000, 0.2463) [24 per cell]

Output
**Crystal system**: cubic
**Formation energy without anion corrections**: -1844 kJ/mol of formula units
**Total DFT energy (no corrections)**: -40.1 eV per formula unit

4.
First-principles (PBE) data for GaIrF2 after structural relaxation, as listed in Alexandria.

a b c (Å): 7.1982 7.1982 4.8890
angles (deg): 90.00 90.00 90.00
Space group I-42d (No. 122)
Unique sites:
Ga (0.0000, 0.0000, 0.0000) [4 per cell]
Ir (0.0000, 0.0000, 0.5000) [4 per cell]
F (0.1471, 0.7500, 0.6250) [8 per cell]

Output
**Crystal system**: tetragonal
**Formation energy without anion corrections**: -204 kJ/mol of formula units
**E above lowest polymorph**: 9.646 kcal/mol of atoms
**Total DFT energy (no corrections)**: -17.7 eV per formula unit